No. 1
# Ce5YIn2 (PBE, optimized geometry)
data_Ce5YIn2
_symmetry_space_group_name_H-M 'P b a m'
_symmetry_Int_Tables_number 55
_cell_length_a 6.887
_cell_length_b 13.791
_cell_length_c 4.627
_cell_angle_alpha 90.00
_cell_angle_beta 90.00
_cell_angle_gamma 90.00
loop_
_symmetry_equiv_pos_as_xyz
'x,y,z'
'-x,-y,-z'
'-x,-y,z'
'x,y,-z'
'x+1/2,-y+1/2,-z'
'-x+1/2,y+1/2,z'
'-x+1/2,y+1/2,-z'
'x+1/2,-y+1/2,z'
loop_
_atom_site_label
_atom_site_type_symbol
_atom_site_fract_x
_atom_site_fract_y
_atom_site_fract_z
_atom_site_occupancy
Ce1 Ce 0.000 0.000 0.000 1
Ce2 Ce 0.037 0.231 0.000 1
Ce3 Ce 0.227 0.140 0.500 1
Y1 Y 0.000 0.500 0.000 1
In1 In 0.238 0.383 0.500 1
# **Energy of formation from the pure elements**: -4.78 kcal/mol of atoms
# **Total energy**: -86.54 eV for the cell shown

No. 2
# CeHoTl (PBE, optimized geometry)
data_CeHoTl
_symmetry_space_group_name_H-M 'P 3 m 1'
_symmetry_Int_Tables_number 156
_cell_length_a 5.4201
_cell_length_b 5.4201
_cell_length_c 6.7723
_cell_angle_alpha 90.00
_cell_angle_beta 90.00
_cell_angle_gamma 120.00
loop_
_symmetry_equiv_pos_as_xyz
'x,y,z'
'-y,x-y,z'
'-x+y,-x,z'
'-y,-x,z'
'-x+y,y,z'
'x,x-y,z'
loop_
_atom_site_label
_atom_site_type_symbol
_atom_site_fract_x
_atom_site_fract_y
_atom_site_fract_z
_atom_site_occupancy
Ce1 Ce 0.0000 0.0000 0.0000 1
Ce2 Ce 0.3333 0.6667 0.7742 1
Ho1 Ho 0.0000 0.0000 0.4921 1
Ho2 Ho 0.6667 0.3333 0.2414 1
Tl1 Tl 0.3333 0.6667 0.2692 1
Tl2 Tl 0.6667 0.3333 0.7331 1
# **Energy of formation from the pure elements**: -4.11 kcal/mol of atoms
# **Total energy**: -26.83 eV for the cell shown
# **Energy above the lowest structure with this stoichiometry**: 33.6 meV per atom

No. 3
# Te2IN2 (PBE, optimized geometry)
data_Te2IN2
_symmetry_space_group_name_H-M 'I 4/m m m'
_symmetry_Int_Tables_number 139
_symmetry_space_group_name_Hall '-I 4 2'
_cell_length_a 4.004
_cell_length_b 4.004
_cell_length_c 13.180
_cell_angle_alpha 90.00
_cell_angle_beta 90.00
_cell_angle_gamma 90.00
loop_
_atom_site_label
_atom_site_type_symbol
_atom_site_fract_x
_atom_site_fract_y
_atom_site_fract_z
_atom_site_occupancy
Te1 Te 0.000 0.000 0.176 1
I1 I 0.000 0.000 0.500 1
N1 N 0.000 0.500 0.250 1
# **Raw formation energy**: 0.60 eV per atom
# **Total energy**: -42.96 eV for the cell shown
# **Energy above the lowest structure with this stoichiometry**: 293.1 meV per atom